No. 1
4
Lattice="1.6842 0.9723 9.4901 -1.6842 0.9723 9.4901 0.0000 -1.9447 9.4901" Properties=species:S:1:pos:R:3 comment="CeHo2N | Alexandria | PBE | relaxed" polymorph_energy_ev_per_atom=0.000 raw_formation_energy_ev_per_atom=-0.6893 dos_ef_per_ev_fu=6.0 mass_density_g_cm3=8.62 pbc="T T T"
Ce 0.0000 0.0000 0.0000
Ho 0.0000 0.0000 3.3924
Ho 0.0000 0.0000 25.0780
N 0.0000 0.0000 14.2352

=====

No. 2
4
Lattice="3.1209 0.0000 0.0000 0.0000 3.1209 0.0000 0.0000 0.0000 8.6501" Properties=species:S:1:pos:R:3 comment="CeHo2N | Alexandria | PBE | relaxed" polymorph_energy_ev_per_atom=0.486 raw_formation_energy_ev_per_atom=-0.2032 dos_ef_per_ev_fu=6.7 mass_density_g_cm3=9.54 pbc="T T T"
Ce 0.0000 0.0000 0.0000
Ho 1.5605 1.5605 2.9167
Ho 1.5605 1.5605 5.7334
N 0.0000 0.0000 4.3250

=====

No. 3
3
Lattice="0.0000 3.0206 3.0206 3.0206 0.0000 3.0206 3.0206 3.0206 0.0000" Properties=species:S:1:pos:R:3 comment="CeHoN | Alexandria | PBE | relaxed" polymorph_energy_ev_per_atom=0.637 raw_formation_energy_ev_per_atom=-0.3207 dos_ef_per_ev_fu=5.2 mass_density_g_cm3=9.61 pbc="T T T"
Ce 0.0000 0.0000 0.0000
Ho 3.0206 3.0206 3.0206
N 1.5103 1.5103 1.5103

=====

No. 4
8
Lattice="3.5440 -5.0016 0.0000 3.5440 5.0016 0.0000 0.0000 0.0000 3.5386" Properties=species:S:1:pos:R:3 comment="Ce3HoN4 | Alexandria | PBE | relaxed" raw_formation_energy_ev_per_atom=-1.5466 dos_ef_per_ev_fu=7.5 mass_density_g_cm3=8.49 pbc="T T T"
Ce 0.0000 0.0000 0.0000
Ce 1.7720 2.5008 1.7693
Ce 1.7720 -2.5008 1.7693
Ho 3.5440 0.0000 0.0000
N 3.5440 2.4699 0.0000
N 1.7974 0.0000 1.7693
N 5.2905 0.0000 1.7693
N 3.5440 -2.4699 0.0000

=====

No. 5
12
Lattice="3.0017 -5.1990 0.0000 3.0017 5.1990 0.0000 -1.9981 0.0000 5.6615" Properties=species:S:1:pos:R:3 comment="CeHo5N6 | Alexandria | PBE | relaxed" raw_formation_energy_ev_per_atom=-1.7065 dos_ef_per_ev_fu=2.6 mass_density_g_cm3=9.86 pbc="T T T"
Ce 0.0000 0.0000 0.0000
Ho 2.0027 3.4582 2.8307
Ho 3.0017 1.7306 0.0000
Ho 2.0027 0.0000 2.8307
Ho 3.0017 -1.7306 0.0000
Ho 2.0027 -3.4582 2.8307
N 0.9977 1.7268 1.4173
N -0.0065 0.0000 4.2566
N 0.9977 -1.7268 1.4173
N 3.0076 1.7268 4.2441
N 4.0118 0.0000 1.4049
N 3.0076 -1.7268 4.2441

=====

No. 6
16
Lattice="6.0213 0.0000 0.0000 0.0000 6.9531 0.0000 -2.0100 0.0000 5.6788" Properties=species:S:1:pos:R:3 comment="CeHo3N4 | Alexandria | PBE | relaxed" polymorph_energy_ev_per_atom=0.000 raw_formation_energy_ev_per_atom=-1.6800 dos_ef_per_ev_fu=2.5 mass_density_g_cm3=9.65 pbc="T T T"
Ce -0.5025 0.8876 1.4197
Ce -1.5075 6.0655 4.2591
Ho -1.5075 2.6221 4.2591
Ho -0.5025 4.3310 1.4197
Ho 1.5031 0.8866 4.2591
Ho 2.5082 2.6241 1.4197
Ho 1.5031 4.3290 4.2591
Ho 2.5082 6.0666 1.4197
N 1.5034 0.8729 0.0036
N 0.4984 6.0802 2.8430
N 0.5053 2.6061 2.8347
N -0.4997 4.3470 5.6742
N 4.5110 2.6061 0.0047
N 3.5060 4.3470 2.8441
N 3.5129 0.8729 2.8358
N 2.5079 6.0802 5.6752

=====

No. 7
16
Lattice="6.1298 0.0000 0.0000 0.0000 7.0850 0.0000 -2.0424 0.0000 5.7729" Properties=species:S:1:pos:R:3 comment="Ce3HoN4 | Alexandria | PBE | relaxed" raw_formation_energy_ev_per_atom=-1.5476 dos_ef_per_ev_fu=7.6 mass_density_g_cm3=8.49 pbc="T T T"
Ce -0.5106 0.8764 1.4432
Ce -1.5318 2.6496 4.3297
Ce -0.5106 4.4354 1.4432
Ce -1.5318 6.2086 4.3297
Ce 2.5543 2.6460 1.4432
Ce 1.5331 4.4390 4.3297
Ho 1.5331 0.8769 4.3297
Ho 2.5543 6.2081 1.4432
N 1.5518 0.8688 0.0020
N 0.5306 6.2162 2.8884
N 0.5287 2.6297 2.9014
N 1.5499 4.4553 0.0149
N 2.5374 2.6297 5.7580
N 3.5587 4.4553 2.8715
N 3.5568 0.8688 2.8845
N 2.5356 6.2162 5.7709

=====

No. 8
12
Lattice="3.0738 -5.3231 0.0000 3.0738 5.3231 0.0000 -2.0460 0.0000 5.7967" Properties=species:S:1:pos:R:3 comment="Ce5HoN6 | Alexandria | PBE | relaxed" raw_formation_energy_ev_per_atom=-1.5295 dos_ef_per_ev_fu=12.9 mass_density_g_cm3=8.31 pbc="T T T"
Ce 0.0000 0.0000 0.0000
Ce 2.0507 3.5482 2.8984
Ce 3.0738 1.7728 0.0000
Ce 3.0738 -1.7728 0.0000
Ce 2.0507 -3.5482 2.8984
Ho 2.0507 0.0000 2.8984
N 1.0357 1.7568 1.4703
N 0.0252 0.0000 4.3406
N 1.0357 -1.7568 1.4703
N 3.0658 1.7568 4.3264
N 4.0763 0.0000 1.4561
N 3.0658 -1.7568 4.3264

=====

No. 9
10
Lattice="-3.8805 3.8805 2.4533 3.8805 -3.8805 2.4533 3.8805 3.8805 -2.4533" Properties=species:S:1:pos:R:3 comment="CeHo4N5 | Alexandria | PBE | relaxed" raw_formation_energy_ev_per_atom=-1.6955 dos_ef_per_ev_fu=2.6 mass_density_g_cm3=9.77 pbc="T T T"
Ce 0.0000 0.0000 0.0000
Ho 4.6570 1.5360 0.0000
Ho 1.5360 3.1041 0.0000
Ho 2.3446 0.7764 2.4533
Ho -0.7764 2.3446 2.4533
N 2.3219 0.7616 0.0000
N 3.1190 -1.5586 2.4533
N 0.0000 0.0000 2.4533
N 0.7616 5.4392 0.0000
N 1.5586 3.1190 2.4533

=====

No. 10
5
Lattice="4.9326 0.0000 0.0000 0.0000 4.9326 0.0000 0.0000 0.0000 4.9326" Properties=species:S:1:pos:R:3 comment="CeHo3N | Alexandria | PBE | relaxed" raw_formation_energy_ev_per_atom=-0.4256 dos_ef_per_ev_fu=10.2 mass_density_g_cm3=8.98 pbc="T T T"
Ce 0.0000 0.0000 0.0000
Ho 0.0000 2.4663 2.4663
Ho 2.4663 0.0000 2.4663
Ho 2.4663 2.4663 0.0000
N 2.4663 2.4663 2.4663

=====

No. 11
9
Lattice="-2.8313 2.8313 5.4150 2.8313 -2.8313 5.4150 2.8313 2.8313 -5.4150" Properties=species:S:1:pos:R:3 comment="CeHo4N4 | Alexandria | PBE | relaxed" polymorph_energy_ev_per_atom=0.642 raw_formation_energy_ev_per_atom=-0.8137 dos_ef_per_ev_fu=5.2 mass_density_g_cm3=8.18 pbc="T T T"
Ce 0.0000 0.0000 0.0000
Ho 2.8313 0.0000 0.0000
Ho 0.0000 0.0000 3.0572
Ho 0.0000 2.8313 0.0000
Ho 0.0000 0.0000 7.7728
N 1.4586 -1.4586 4.0947
N 1.3728 1.3728 1.3203
N -1.4586 1.4586 4.0947
N 1.4586 1.4586 6.7353

=====

No. 12
8
Lattice="5.8639 0.0000 0.0000 0.0000 3.3735 0.0000 -1.9163 0.0000 5.5513" Properties=species:S:1:pos:R:3 comment="CeHo2NbN4 | Alexandria | PBE | relaxed" raw_formation_energy_ev_per_atom=-1.4607 dos_ef_per_ev_fu=4.0 mass_density_g_cm3=9.36 pbc="T T T"
Ce 0.0000 0.0000 0.0000
Ho 1.9738 0.0000 2.7756
Ho 2.9319 1.6867 0.0000
Nb -0.9581 1.6867 2.7756
N -0.0204 0.0000 4.0714
N 0.9340 1.6867 1.4621
N 3.0136 1.6867 4.0892
N 3.9680 0.0000 1.4799

=====

Copy entry 5 word for word.
12
Lattice="3.0017 -5.1990 0.0000 3.0017 5.1990 0.0000 -1.9981 0.0000 5.6615" Properties=species:S:1:pos:R:3 comment="CeHo5N6 | Alexandria | PBE | relaxed" raw_formation_energy_ev_per_atom=-1.7065 dos_ef_per_ev_fu=2.6 mass_density_g_cm3=9.86 pbc="T T T"
Ce 0.0000 0.0000 0.0000
Ho 2.0027 3.4582 2.8307
Ho 3.0017 1.7306 0.0000
Ho 2.0027 0.0000 2.8307
Ho 3.0017 -1.7306 0.0000
Ho 2.0027 -3.4582 2.8307
N 0.9977 1.7268 1.4173
N -0.0065 0.0000 4.2566
N 0.9977 -1.7268 1.4173
N 3.0076 1.7268 4.2441
N 4.0118 0.0000 1.4049
N 3.0076 -1.7268 4.2441